1.
SiPdAu: relaxed, PBE.

Structure (CIF):
```
data_SiPdAu
_chemical_formula_sum 'Si4 Pd4 Au4'
_symmetry_space_group_name_H-M 'F -4 3 m'
_symmetry_Int_Tables_number 216
_symmetry_space_group_name_Hall 'F -4 2 3'
_cell_length_a 5.884
_cell_length_b 5.884
_cell_length_c 5.884
_cell_angle_alpha 90.00
_cell_angle_beta 90.00
_cell_angle_gamma 90.00
loop_
_atom_site_label
_atom_site_type_symbol
_atom_site_fract_x
_atom_site_fract_y
_atom_site_fract_z
_atom_site_occupancy
Si1 Si 0.000 0.000 0.000 1
Pd1 Pd 0.250 0.250 0.750 1
Au1 Au 0.250 0.250 0.250 1
```

Summary:
calculated density = 10.8 g/cm³
formation energy (no corrections) = -0.27 eV/atom

=====

2.
Tb2Dy12Ho5: relaxed, PBE.

Structure (CIF):
```
data_Tb2Dy12Ho5
_chemical_formula_sum 'Tb2 Dy12 Ho5'
_symmetry_space_group_name_H-M 'P -1'
_symmetry_Int_Tables_number 2
_cell_length_a 6.114
_cell_length_b 9.341
_cell_length_c 11.164
_cell_angle_alpha 83.02
_cell_angle_beta 79.43
_cell_angle_gamma 71.01
loop_
_symmetry_equiv_pos_as_xyz
'x,y,z'
'-x,-y,-z'
loop_
_atom_site_label
_atom_site_type_symbol
_atom_site_fract_x
_atom_site_fract_y
_atom_site_fract_z
_atom_site_occupancy
Tb1 Tb 0.237 0.474 0.079 1
Dy1 Dy 0.026 0.053 0.342 1
Dy2 Dy 0.132 0.263 0.710 1
Dy3 Dy 0.184 0.368 0.395 1
Dy4 Dy 0.289 0.579 0.763 1
Dy5 Dy 0.395 0.790 0.132 1
Dy6 Dy 0.447 0.895 0.816 1
Ho1 Ho 0.079 0.158 0.026 1
Ho2 Ho 0.342 0.684 0.447 1
Ho3 Ho 0.500 0.000 0.500 1
```

Summary:
E_tot = -4.580 eV per atom
calculated density = 8.7 g/cm³

=====

3.
LiCa2PtAu6: relaxed, PBE.

Structure (CIF):
```
data_LiCa2PtAu6
_chemical_formula_sum 'Li1 Ca2 Pt1 Au6'
_symmetry_space_group_name_H-M 'P -1'
_symmetry_Int_Tables_number 2
_cell_length_a 5.450
_cell_length_b 6.777
_cell_length_c 6.796
_cell_angle_alpha 71.34
_cell_angle_beta 66.56
_cell_angle_gamma 66.70
loop_
_symmetry_equiv_pos_as_xyz
'x,y,z'
'-x,-y,-z'
loop_
_atom_site_label
_atom_site_type_symbol
_atom_site_fract_x
_atom_site_fract_y
_atom_site_fract_z
_atom_site_occupancy
Li1 Li 0.000 0.000 0.000 1
Ca1 Ca 0.490 0.279 0.739 1
Pt1 Pt 0.000 0.500 0.500 1
Au1 Au 0.001 0.178 0.314 1
Au2 Au 0.175 0.587 0.063 1
Au3 Au 0.499 0.821 0.688 1
```

Summary:
E_tot = -3.645 eV per atom
calculated density = 11.7 g/cm³

=====

4.
Sm2RhI: relaxed, PBE.

Structure (CIF):
```
data_Sm2RhI
_chemical_formula_sum 'Sm6 Rh3 I3'
_symmetry_space_group_name_H-M 'R -3 m'
_symmetry_Int_Tables_number 166
_symmetry_space_group_name_Hall '-R 3 2"'
_cell_length_a 4.1377
_cell_length_b 4.1377
_cell_length_c 24.1998
_cell_angle_alpha 90.00
_cell_angle_beta 90.00
_cell_angle_gamma 120.00
loop_
_atom_site_label
_atom_site_type_symbol
_atom_site_fract_x
_atom_site_fract_y
_atom_site_fract_z
_atom_site_occupancy
Sm1 Sm 0.0000 0.0000 0.2280 1
Rh1 Rh 0.0000 0.0000 0.5000 1
I1 I 0.0000 0.0000 0.0000 1
```

Summary:
calculated density = 7.4 g/cm³
formation energy (no corrections) = -0.95 eV/atom

=====

5.
LiHoHgPd: relaxed, PBE.

Structure (CIF):
```
data_LiHoHgPd
_chemical_formula_sum 'Li4 Ho4 Hg4 Pd4'
_symmetry_space_group_name_H-M 'F -4 3 m'
_symmetry_Int_Tables_number 216
_symmetry_space_group_name_Hall 'F -4 2 3'
_cell_length_a 6.863
_cell_length_b 6.863
_cell_length_c 6.863
_cell_angle_alpha 90.00
_cell_angle_beta 90.00
_cell_angle_gamma 90.00
loop_
_atom_site_label
_atom_site_type_symbol
_atom_site_fract_x
_atom_site_fract_y
_atom_site_fract_z
_atom_site_occupancy
Li1 Li 0.000 0.000 0.000 1
Ho1 Ho 0.000 0.000 0.500 1
Hg1 Hg 0.250 0.250 0.750 1
Pd1 Pd 0.250 0.250 0.250 1
```

Summary:
E_tot = -3.515 eV per atom
calculated density = 9.8 g/cm³

=====

6.
Tc2NiC2: relaxed, PBE.

Structure (CIF):
```
data_Tc2NiC2
_chemical_formula_sum 'Tc4 Ni2 C4'
_symmetry_space_group_name_H-M 'I 4/m m m'
_symmetry_Int_Tables_number 139
_symmetry_space_group_name_Hall '-I 4 2'
_cell_length_a 4.051
_cell_length_b 4.051
_cell_length_c 6.258
_cell_angle_alpha 90.00
_cell_angle_beta 90.00
_cell_angle_gamma 90.00
loop_
_atom_site_label
_atom_site_type_symbol
_atom_site_fract_x
_atom_site_fract_y
_atom_site_fract_z
_atom_site_occupancy
Tc1 Tc 0.000 0.500 0.250 1
Ni1 Ni 0.000 0.000 0.000 1
C1 C 0.000 0.000 0.383 1
```

Summary:
E_tot = -8.524 eV per atom
calculated density = 9.0 g/cm³

=====

7.
BeZnTe2: relaxed, PBE.

Structure (CIF):
```
data_BeZnTe2
_chemical_formula_sum 'Be4 Zn4 Te8'
_symmetry_space_group_name_H-M 'I -4 2 d'
_symmetry_Int_Tables_number 122
_symmetry_space_group_name_Hall 'I -4 2bw'
_cell_length_a 5.937
_cell_length_b 5.937
_cell_length_c 11.748
_cell_angle_alpha 90.00
_cell_angle_beta 90.00
_cell_angle_gamma 90.00
loop_
_atom_site_label
_atom_site_type_symbol
_atom_site_fract_x
_atom_site_fract_y
_atom_site_fract_z
_atom_site_occupancy
Be1 Be 0.000 0.000 0.000 1
Zn1 Zn 0.000 0.000 0.500 1
Te1 Te 0.221 0.250 0.125 1
```

Summary:
calculated density = 5.3 g/cm³
formation energy (no corrections) = -0.41 eV/atom

=====

8.
PmMoC: relaxed, PBE.

Structure (CIF):
```
data_PmMoC
_chemical_formula_sum 'Pm4 Mo4 C4'
_symmetry_space_group_name_H-M 'C 1 2/m 1'
_symmetry_Int_Tables_number 12
_cell_length_a 9.588
_cell_length_b 3.418
_cell_length_c 7.024
_cell_angle_alpha 90.00
_cell_angle_beta 120.97
_cell_angle_gamma 90.00
loop_
_symmetry_equiv_pos_as_xyz
'x,y,z'
'-x,-y,-z'
'-x,y,-z'
'x,-y,z'
'x+1/2,y+1/2,z'
'-x+1/2,-y+1/2,-z'
'-x+1/2,y+1/2,-z'
'x+1/2,-y+1/2,z'
loop_
_atom_site_label
_atom_site_type_symbol
_atom_site_fract_x
_atom_site_fract_y
_atom_site_fract_z
_atom_site_occupancy
Pm1 Pm 0.074 0.000 0.358 1
Mo1 Mo 0.171 0.500 0.067 1
C1 C 0.190 0.500 0.760 1
```

Summary:
E_tot = -8.261 eV per atom
calculated density = 8.5 g/cm³